(1)
VASP calculation (GGA-PBEsol) on La5Sb3 after structural relaxation.

Structure (CIF):
```
data_La5Sb3
_chemical_formula_sum 'La10 Sb6'
_cell_length_a 6.5263
_cell_length_b 9.4440
_cell_length_c 9.4440
_cell_angle_alpha 120.00
_cell_angle_beta 90.00
_cell_angle_gamma 90.00
_space_group_name_H-M_alt 'P 1'
_space_group_IT_number 1
_space_group_name_Hall 'P 1'
loop_
_atom_site_label
_atom_site_fract_x
_atom_site_fract_y
_atom_site_fract_z
_atom_site_occupancy
La1 0.0000 0.3333 0.6667 1
La2 0.5000 0.6667 0.3333 1
La3 0.0000 0.6667 0.3333 1
La4 0.5000 0.3333 0.6667 1
La5 0.7500 0.0000 0.7436 1
La6 0.7500 0.7436 0.0000 1
La7 0.7500 0.2564 0.2564 1
La8 0.2500 0.0000 0.2564 1
La9 0.2500 0.2564 0.0000 1
La10 0.2500 0.7436 0.7436 1
Sb1 0.7500 0.0000 0.3839 1
Sb2 0.7500 0.3839 0.0000 1
Sb3 0.7500 0.6161 0.6161 1
Sb4 0.2500 0.0000 0.6161 1
Sb5 0.2500 0.6161 0.0000 1
Sb6 0.2500 0.3839 0.3839 1
```

Values from the calculation:
Uncorrected energy   -6.075 eV/atom
Crystal system   hexagonal

---

(2)
VASP calculation (GGA-PBEsol) on LaScSb after structural relaxation.

Structure (CIF):
```
data_LaScSb
_chemical_formula_sum 'La2 Sc2 Sb2'
_cell_length_a 4.4776
_cell_length_b 4.4776
_cell_length_c 8.8509
_cell_angle_alpha 104.65
_cell_angle_beta 104.65
_cell_angle_gamma 90.00
_space_group_name_H-M_alt 'P 1'
_space_group_IT_number 1
_space_group_name_Hall 'P 1'
loop_
_atom_site_label
_atom_site_fract_x
_atom_site_fract_y
_atom_site_fract_z
_atom_site_occupancy
Sc1 0.0000 0.5000 0.0000 1
Sc2 0.5000 0.0000 0.0000 1
Sb1 0.3763 0.3763 0.7526 1
Sb2 0.6237 0.6237 0.2474 1
La1 0.1743 0.1743 0.3486 1
La2 0.8257 0.8257 0.6514 1
```

Values from the calculation:
Uncorrected energy   -6.408 eV/atom
Crystal system   tetragonal

---

(3)
VASP calculation (GGA-PBEsol) on La2ScSb after structural relaxation.

Structure (CIF):
```
data_La2ScSb
_chemical_formula_sum 'La2 Sc1 Sb1'
_cell_length_a 4.6867
_cell_length_b 4.6867
_cell_length_c 6.0480
_cell_angle_alpha 112.80
_cell_angle_beta 112.80
_cell_angle_gamma 90.00
_space_group_name_H-M_alt 'P 1'
_space_group_IT_number 1
_space_group_name_Hall 'P 1'
loop_
_atom_site_label
_atom_site_fract_x
_atom_site_fract_y
_atom_site_fract_z
_atom_site_occupancy
La1 0.7500 0.2500 0.5000 1
La2 0.2500 0.7500 0.5000 1
Sb1 0.0000 0.0000 0.0000 1
Sc1 0.5000 0.5000 0.0000 1
```

Values from the calculation:
Uncorrected energy   -5.931 eV/atom
Crystal system   tetragonal